Compound: CsCaPb2
Source: Alexandria via LeMat-Bulk
Functional: GGA-PBEsol
Structure: optimized geometry

space group = Fm-3m, No. 225
magnetization = 0.000 μB per atom
DFT total energy = -2.864 eV/atom
DFT formation energy = -96 meV per atom

Cell: 5.8452 5.8452 5.8452 Å, 60.00 60.00 60.00°
With the nearest neighbours (Å) after each atom.
Positions (direct):
Cs (0.0000, 0.0000, 0.0000)  8 Pb 3.58
Ca (0.5000, 0.5000, 0.5000)  8 Pb 3.58
Pb (0.2500, 0.2500, 0.2500)  4 Ca 3.58, 4 Cs 3.58
Pb (0.7500, 0.7500, 0.7500)  4 Ca 3.58, 4 Cs 3.58


Compound: PtS3I
Source: Alexandria via LeMat-Bulk
Functional: GGA-PBEsol
Structure: optimized geometry

space group = Pm-3m, No. 221
formation energy from raw total energies = 1.61 eV per atom
magnetization = 0.314 μB per atom
DFT total energy = -2.766 eV/atom

Cell: 4.9523 4.9523 4.9523 Å, 90.00 90.00 90.00°
With the nearest neighbours (Å) after each atom.
Positions (direct):
Pt (0.0000, 0.0000, 0.0000)  12 S 3.50
S (0.0000, 0.5000, 0.5000)  2 I 2.48
S (0.5000, 0.0000, 0.5000)  2 I 2.48
S (0.5000, 0.5000, 0.0000)  2 I 2.48
I (0.5000, 0.5000, 0.5000)  6 S 2.48


Compound: LiCu2Ni
Source: Alexandria via LeMat-Bulk
Functional: GGA-PBEsol
Structure: optimized geometry

space group = Imm2, No. 44
magnetization = 0.000 μB per atom
DFT total energy = -4.172 eV/atom
energy above the most stable polymorph in this dataset = 0.045 eV/atom
DFT formation energy = 27 meV per atom

Cell: 4.7516 4.7516 4.7516 Å, 147.43 129.39 61.49°
With the nearest neighbours (Å) after each atom.
Positions (direct):
Li (0.0000, 0.0000, 0.0000)  6 Cu 2.43-2.46, 2 Ni 2.45, 2 Li 2.66
Cu (0.4982, 0.4982, 0.0000)  2 Ni 2.41, 4 Li 2.43, 4 Cu 2.43-2.66
Cu (0.7474, 0.2474, 0.5000)  4 Ni 2.43, 4 Cu 2.43-2.66, 2 Li 2.46
Ni (0.2523, 0.7523, 0.5000)  6 Cu 2.41-2.43, 2 Li 2.45, 2 Ni 2.66


Listing V for the structures above in their given order: 141.22; 121.45; 44.20 Å³/f.u..